# K2SiAs | the Alexandria database | GGA-PBEsol | relaxed
data_K2SiAs
_symmetry_space_group_name_H-M 'P 4/m m m'
_symmetry_Int_Tables_number 123
_symmetry_space_group_name_Hall '-P 4 2'
_cell_length_a 3.004
_cell_length_b 3.004
_cell_length_c 10.513
_cell_angle_alpha 90.00
_cell_angle_beta 90.00
_cell_angle_gamma 90.00
loop_
_atom_site_label
_atom_site_fract_x
_atom_site_fract_y
_atom_site_fract_z
_atom_site_occupancy
K1 0.000 0.000 0.241 1
Si1 0.500 0.500 0.500 1
As1 0.500 0.500 0.000 1
# ΔE_f (raw)	0.19	eV/atom
# E above lowest polymorph	416	meV/atom